This record from Alexandria describes an optimized crystal structure of Sm2DyMg. The functional is PBE-GGA.

```
Sm2DyMg
1.0
3.481 0.000 0.000
1.741 3.015 0.000
1.741 1.005 12.394
Mg Sm Dy
1 2 1
Direct
0.000 0.000 0.000
0.089 0.089 0.732
0.911 0.911 0.268
0.500 0.500 0.500
```

Output
SG ... No. 166
Energy of formation from the pure elements ... 185 meV per atom
Distance to the lowest polymorph of the same formula ... 214 meV/atom
Crystal system ... trigonal

=====

This record from Alexandria describes an optimized crystal structure of SmDy5Mg6. The functional is PBE-GGA.

```
SmDy5Mg6
1.0
5.102 -0.030 1.700
0.041 7.565 0.014
0.000 -0.015 8.505
Mg Sm Dy
6 1 5
Direct
0.832 0.749 0.335
0.832 0.251 0.335
0.500 0.252 0.000
0.500 0.748 0.000
0.168 0.749 0.665
0.168 0.251 0.665
0.000 0.000 0.000
0.666 0.500 0.668
0.332 0.000 0.335
0.000 0.500 0.000
0.668 0.000 0.665
0.334 0.500 0.332
```

Output
SG ... No. 65
Energy of formation from the pure elements ... -83 meV per atom
Crystal system ... orthorhombic

=====

This record from Alexandria describes an optimized crystal structure of SmDyMg4. The functional is PBE-GGA.

```
SmDyMg4
1.0
6.061 0.000 0.000
3.030 5.249 0.000
3.030 1.750 4.949
Mg Sm Dy
4 1 1
Direct
0.625 0.625 0.125
0.625 0.125 0.625
0.625 0.625 0.625
0.125 0.625 0.625
0.250 0.250 0.250
0.000 0.000 0.000
```

Output
SG ... No. 216
Energy of formation from the pure elements ... -80 meV per atom
Distance to the lowest polymorph of the same formula ... 0 meV/atom
Crystal system ... cubic

=====

This record from Alexandria describes an optimized crystal structure of Sm7Dy3Mg. The functional is PBE-GGA.

```
Sm7Dy3Mg
1.0
8.630 0.000 0.000
0.000 7.072 0.000
0.000 -3.536 6.125
Sm Dy Mg
7 3 1
Direct
0.116 0.167 0.833
0.116 0.167 0.334
0.116 0.667 0.333
0.450 0.831 0.169
0.450 0.338 0.169
0.450 0.831 0.662
0.116 0.666 0.833
0.784 0.501 0.499
0.784 0.501 0.002
0.784 0.998 0.499
0.449 0.333 0.667
```

Output
SG ... No. 156
Energy of formation from the pure elements ... 185 meV per atom
Crystal system ... trigonal

=====

This record from Alexandria describes an optimized crystal structure of Sm3Dy2Mg8. The functional is PBE-GGA.

```
Sm3Dy2Mg8
1.0
-0.505 4.481 3.726
-5.253 1.465 2.117
-0.222 -5.816 11.555
Sm Dy Mg
3 2 8
Direct
0.000 0.000 0.000
0.817 0.817 0.550
0.183 0.183 0.450
0.640 0.640 0.079
0.360 0.360 0.921
0.725 0.725 0.826
0.275 0.275 0.174
0.231 0.732 0.306
0.732 0.231 0.306
0.732 0.732 0.306
0.268 0.769 0.694
0.769 0.268 0.694
0.268 0.268 0.694
```

Output
SG ... No. 166
Energy of formation from the pure elements ... 112 meV per atom
Crystal system ... trigonal

=====

This record from Alexandria describes an optimized crystal structure of Sm2Dy2Mg3. The functional is PBE-GGA.

```
Sm2Dy2Mg3
1.0
1.939 -14.194 0.000
1.939 14.194 0.000
0.000 0.000 3.706
Sm Dy Mg
2 2 3
Direct
0.430 0.570 0.500
0.570 0.430 0.500
0.299 0.701 0.500
0.701 0.299 0.500
0.137 0.863 0.000
0.000 0.000 0.000
0.863 0.137 0.000
```

Output
SG ... No. 65
Energy of formation from the pure elements ... 14 meV per atom
Crystal system ... orthorhombic

=====

In the order shown, the computed magnetic moment values come out to 0.0 0.0 0.0 0.0 0.0 0.0 μB per formula unit.